First-principles (PBE) data for a geometry-optimized ZrBeIn2 structure, as listed in Alexandria via LeMat-Bulk.

Cell and atoms, written as extended XYZ:
```
4
Lattice="3.255 0.000 0.000 0.000 3.255 0.000 0.000 0.000 7.631" Properties=species:S:1:pos:R:3 pbc="T T T"
Zr 0.000 0.000 0.000
Be 1.627 1.627 1.496
In 0.000 0.000 3.134
In 1.627 1.627 5.447
```

Results
M_tot ... 0.000 μB/atom
Crystal system ... tetragonal
ΔH_f (0 K) ... 0.095 eV per atom